# AlTlO2 GGA-PBE relaxed
data_AlTlO2
_chemical_formula_sum 'Al2 Tl2 O4'
_space_group_name_H-M_alt 'C 1 2/m 1'
_space_group_IT_number 12
_space_group_name_Hall '-C 2y'
_cell_length_a 5.1867
_cell_length_b 3.0192
_cell_length_c 6.9623
_cell_angle_alpha 90.00
_cell_angle_beta 111.02
_cell_angle_gamma 90.00
loop_
_atom_site_label
_atom_site_type_symbol
_atom_site_fract_x
_atom_site_fract_y
_atom_site_fract_z
Al1 Al 0.0000 0.0000 0.0000
Tl1 Tl 0.0000 0.5000 0.5000
O1 O 0.2394 0.5000 0.1477
# energy above the lowest structure with this stoichiometry	0.251	eV per atom
# energy relative to the elements, uncorrected	-1878.5	meV per atom

***

# LiTcP2 GGA-PBE relaxed
data_LiTcP2
_chemical_formula_sum 'Li2 Tc2 P4'
_space_group_name_H-M_alt 'C 1 m 1'
_space_group_IT_number 8
_space_group_name_Hall 'C -2y'
_cell_length_a 8.7405
_cell_length_b 3.0769
_cell_length_c 4.2942
_cell_angle_alpha 90.00
_cell_angle_beta 106.11
_cell_angle_gamma 90.00
loop_
_atom_site_label
_atom_site_type_symbol
_atom_site_fract_x
_atom_site_fract_y
_atom_site_fract_z
Li1 Li 0.0000 0.0000 0.0000
Tc1 Tc 0.2390 0.5000 0.4921
P1 P 0.2603 0.0000 0.9321
P2 P 0.4443 0.0000 0.4201
# energy above the lowest structure with this stoichiometry	0.124	eV per atom
# E_form	-0.309	eV/atom

***

# LiHoPa GGA-PBE relaxed
data_LiHoPa
_chemical_formula_sum 'Li2 Ho2 Pa2'
_space_group_name_H-M_alt 'P 4 m m'
_space_group_IT_number 99
_space_group_name_Hall 'P 4 -2'
_cell_length_a 3.5136
_cell_length_b 3.5136
_cell_length_c 11.6854
_cell_angle_alpha 90.00
_cell_angle_beta 90.00
_cell_angle_gamma 90.00
loop_
_atom_site_label
_atom_site_type_symbol
_atom_site_fract_x
_atom_site_fract_y
_atom_site_fract_z
Li1 Li 0.0000 0.0000 0.0000
Li2 Li 0.0000 0.0000 0.2864
Ho1 Ho 0.0000 0.0000 0.6665
Ho2 Ho 0.5000 0.5000 0.4460
Pa1 Pa 0.5000 0.5000 0.1313
Pa2 Pa 0.5000 0.5000 0.8679
# E_form	0.391	eV/atom